Entry from Alexandria via LeMat-Bulk: crystalline Zr2ZnPbS at its relaxed geometry (PBE).

For the density of states at the Fermi level, the calculation gives 1.24 states/eV per atom. For the calculated density, the calculation gives 5.46 g cm⁻³. For the electronic total energy, the calculation gives -4.19 eV/atom. Its crystal system is tetragonal. For the energy relative to the elements, uncorrected, the calculation gives 1.0558 eV/atom.

a b c (Å): 5.562 5.562 4.793
angles (deg): 90.00 90.00 90.00
Atoms (fractional coordinates):
Zr1 0.000 0.500 0.000
Zr2 0.500 0.000 0.000
Zn1 0.000 0.000 0.500
Pb1 0.000 0.000 0.000
S1 0.500 0.500 0.500